[1]
The following is a DFT calculation (GGA-PBE) of a relaxed structure of Al8Re7. Values from VASP.

Calculated values
Magnetization = 0.16 Bohr magnetons per cell
Relative energy among the computed polymorphs = 0.156 eV per atom

The structure in Quantum ESPRESSO input format:
```
&SYSTEM
  ibrav = 0, nat = 30, ntyp = 2
/
ATOMIC_SPECIES
Al 26.98 Al.upf
Re 186.21 Re.upf
CELL_PARAMETERS angstrom
9.518 0.000 0.000
0.000 9.518 0.000
0.000 0.000 5.000
ATOMIC_POSITIONS crystal
Al 0.037 0.369 0.000
Al 0.131 0.537 0.500
Al 0.182 0.818 0.248
Al 0.182 0.818 0.752
Al 0.318 0.318 0.252
Al 0.318 0.318 0.748
Al 0.369 0.037 0.000
Al 0.463 0.869 0.500
Al 0.537 0.131 0.500
Al 0.631 0.963 0.000
Al 0.682 0.682 0.252
Al 0.682 0.682 0.748
Al 0.818 0.182 0.248
Al 0.818 0.182 0.752
Al 0.869 0.463 0.500
Al 0.963 0.631 0.000
Re 0.000 0.000 0.500
Re 0.063 0.258 0.500
Re 0.095 0.095 0.000
Re 0.242 0.563 0.000
Re 0.258 0.063 0.500
Re 0.405 0.595 0.500
Re 0.437 0.758 0.000
Re 0.500 0.500 0.000
Re 0.563 0.242 0.000
Re 0.595 0.405 0.500
Re 0.742 0.937 0.500
Re 0.758 0.437 0.000
Re 0.905 0.905 0.000
Re 0.937 0.742 0.500
```

---

[2]
The following is a DFT calculation (GGA-PBE) of a relaxed structure of Be2GaOs. Values from VASP.

Calculated values
Magnetization = 0.00 Bohr magnetons per cell

The structure in Quantum ESPRESSO input format:
```
&SYSTEM
  ibrav = 0, nat = 4, ntyp = 3
/
ATOMIC_SPECIES
Be 9.01 Be.upf
Ga 69.72 Ga.upf
Os 190.23 Os.upf
CELL_PARAMETERS angstrom
0.000 2.867 2.867
2.867 0.000 2.867
2.867 2.867 0.000
ATOMIC_POSITIONS crystal
Be 0.000 0.000 0.000
Be 0.250 0.250 0.250
Ga 0.500 0.500 0.500
Os 0.750 0.750 0.750
```

---

[3]
The following is a DFT calculation (GGA-PBE) of a relaxed structure of TePdNO. Values from VASP.

Calculated values
Relative energy among the computed polymorphs = 0.163 eV per atom

The structure in Quantum ESPRESSO input format:
```
&SYSTEM
  ibrav = 0, nat = 8, ntyp = 4
/
ATOMIC_SPECIES
Te 127.60 Te.upf
Pd 106.42 Pd.upf
N 14.01 N.upf
O 16.00 O.upf
CELL_PARAMETERS angstrom
3.428 0.000 0.000
0.000 5.825 0.000
0.000 0.000 5.936
ATOMIC_POSITIONS crystal
Te 0.000 0.240 0.000
Te 0.000 0.760 0.500
Pd 0.500 0.256 0.591
Pd 0.500 0.744 0.091
N 0.000 0.067 0.662
N 0.000 0.933 0.162
O 0.500 0.331 0.197
O 0.500 0.669 0.697
```

---

These records have electronic total energy values of -7.75 -5.28 -5.03 eV/atom, in the order they appear.